[1]
The following is a DFT calculation (SCAN) of a PBEsol-optimized structure of NaTiCd2Te.

Total magnetization in μB per formula unit: 3.1
Crystal system: tetragonal
Fermi-level density of states in states/eV/cell: 4.612
Space group: P4/mmm
DFT total energy in eV/atom: -22.99

```
NaTiCd2Te
1.0
5.398 0.000 0.000
0.000 5.565 0.000
0.000 0.000 5.565
Na Cd Te Ti
1 2 1 1
Direct
0.500 0.000 0.000
0.000 0.500 0.000
0.000 0.000 0.500
0.000 0.000 0.000
0.500 0.500 0.500
```

***

[2]
The following is a DFT calculation (SCAN) of a PBEsol-optimized structure of Na2TlCdTe.

Total magnetization in μB per formula unit: 0.0
Crystal system: tetragonal
Fermi-level density of states in states/eV/cell: 1.972
Space group: P4/mmm
DFT total energy in eV/atom: -29.62

```
Na2TlCdTe
1.0
-2.826 -3.635 -3.182
-2.765 -2.062 4.811
-4.296 4.001 -0.755
Na Tl Cd Te
2 1 1 1
Direct
0.000 0.000 0.500
0.000 0.500 0.000
0.000 0.000 0.000
0.500 0.500 0.500
0.500 0.000 0.000
```

***

[3]
The following is a DFT calculation (SCAN) of a PBEsol-optimized structure of Na2Tl2Cd.

Total magnetization in μB per formula unit: 0.0
Crystal system: tetragonal
Fermi-level density of states in states/eV/cell: 4.656
Space group: P4/mbm
ΔE_f in eV/atom: -0.116

```
Na2Tl2Cd
1.0
4.306 0.000 0.000
0.000 7.895 0.000
0.000 0.000 7.895
Na Tl Cd
4 4 2
Direct
0.500 0.664 0.836
0.500 0.836 0.336
0.500 0.336 0.164
0.500 0.164 0.664
0.000 0.360 0.860
0.000 0.860 0.640
0.000 0.140 0.360
0.000 0.640 0.140
0.000 0.500 0.500
0.000 0.000 0.000
```

***

[4]
The following is a DFT calculation (SCAN) of a PBEsol-optimized structure of NaTl3Cd.

Total magnetization in μB per formula unit: 0.0
Crystal system: cubic
Fermi-level density of states in states/eV/cell: 2.955
Space group: Pm-3m
ΔE_f in eV/atom: 0.191

```
NaTl3Cd
1.0
-1.350 0.066 -5.407
-4.368 -3.300 1.050
-3.189 4.492 0.851
Na Tl Cd
1 3 1
Direct
0.500 0.500 0.500
0.000 0.500 0.000
0.500 0.000 0.000
0.000 0.000 0.500
0.000 0.000 0.000
```

***

[5]
The following is a DFT calculation (SCAN) of a PBEsol-optimized structure of NaY2Cd2.

Total magnetization in μB per formula unit: 0.0
Crystal system: tetragonal
Fermi-level density of states in states/eV/cell: 4.536
Space group: I4/mmm
ΔE_f in eV/atom: 0.035

```
NaY2Cd2
1.0
-1.555 -0.124 -4.256
4.257 0.045 -1.557
-1.218 -7.081 3.065
Cd Y Na
2 2 1
Direct
0.404 0.404 0.807
0.596 0.596 0.193
0.750 0.250 0.500
0.250 0.750 0.500
0.000 0.000 0.000
```

***

[6]
The following is a DFT calculation (SCAN) of a PBEsol-optimized structure of Na2Zn2Cd.

Total magnetization in μB per formula unit: 0.0
Crystal system: tetragonal
Fermi-level density of states in states/eV/cell: 4.189
Space group: P4/mbm
ΔE_f in eV/atom: 0.005

```
Na2Zn2Cd
1.0
4.707 0.000 0.000
0.000 6.898 0.000
0.000 0.000 6.898
Cd Na Zn
2 4 4
Direct
0.000 0.500 0.500
0.000 0.000 0.000
0.500 0.176 0.676
0.500 0.324 0.176
0.500 0.824 0.324
0.500 0.676 0.824
0.000 0.127 0.373
0.000 0.373 0.873
0.000 0.627 0.127
0.000 0.873 0.627
```

***

[7]
The following is a DFT calculation (SCAN) of a PBEsol-optimized structure of NaZrCd2.

Total magnetization in μB per formula unit: 0.0
Crystal system: cubic
Fermi-level density of states in states/eV/cell: 2.019
Space group: Fm-3m
ΔE_f in eV/atom: 0.018

```
NaZrCd2
1.0
4.934 0.000 0.000
2.467 4.273 0.000
2.467 1.424 4.029
Cd Na Zr
2 1 1
Direct
0.750 0.750 0.750
0.250 0.250 0.250
0.000 0.000 0.000
0.500 0.500 0.500
```

***

[8]
The following is a DFT calculation (SCAN) of a PBEsol-optimized structure of NaZr3Cd.

Total magnetization in μB per formula unit: 1.9
Crystal system: cubic
Fermi-level density of states in states/eV/cell: 8.042
Space group: Pm-3m
ΔE_f in eV/atom: 1.112

```
NaZr3Cd
1.0
-1.683 4.875 -1.138
-2.325 -1.824 -4.377
-4.434 -0.894 2.728
Zr Na Cd
3 1 1
Direct
0.000 0.000 0.500
0.500 0.000 0.000
0.000 0.500 0.000
0.500 0.500 0.500
0.000 0.000 0.000
```

***

[9]
The following is a DFT calculation (SCAN) of a PBEsol-optimized structure of Nb3CdNi.

Total magnetization in μB per formula unit: 3.2
Crystal system: cubic
Fermi-level density of states in states/eV/cell: 4.551
Space group: Pm-3m
ΔE_f in eV/atom: 2.290

```
Nb3CdNi
1.0
-0.005 -3.508 3.423
-2.152 -3.074 -3.153
4.403 -1.506 -1.537
Nb Ni Cd
3 1 1
Direct
0.000 0.500 0.000
0.000 0.000 0.500
0.500 0.000 0.000
0.500 0.500 0.500
0.000 0.000 0.000
```

***

[10]
The following is a DFT calculation (SCAN) of a PBEsol-optimized structure of NbTlCdNi2.

Total magnetization in μB per formula unit: 0.0
Crystal system: tetragonal
Fermi-level density of states in states/eV/cell: 4.354
Space group: P4/mmm
ΔE_f in eV/atom: 1.196

```
NbTlCdNi2
1.0
4.554 0.000 0.000
0.000 4.554 0.000
0.000 0.000 5.382
Ni Cd Tl Nb
2 1 1 1
Direct
0.000 0.500 0.000
0.500 0.000 0.000
0.500 0.500 0.500
0.000 0.000 0.500
0.000 0.000 0.000
```

***

[11]
The following is a DFT calculation (SCAN) of a PBEsol-optimized structure of NbZnCdNi2.

Total magnetization in μB per formula unit: 0.0
Crystal system: tetragonal
Fermi-level density of states in states/eV/cell: 5.527
Space group: P4/mmm
ΔE_f in eV/atom: 1.464

```
NbZnCdNi2
1.0
4.473 0.000 0.000
0.000 4.473 0.000
0.000 0.000 5.343
Cd Ni Nb Zn
1 2 1 1
Direct
0.000 0.000 0.500
0.000 0.500 0.000
0.500 0.000 0.000
0.000 0.000 0.000
0.500 0.500 0.500
```

***

[12]
The following is a DFT calculation (SCAN) of a PBEsol-optimized structure of ZrNb2CdNi.

Total magnetization in μB per formula unit: 0.0
Crystal system: tetragonal
Fermi-level density of states in states/eV/cell: 4.866
Space group: P4/mmm
ΔE_f in eV/atom: 0.484

```
ZrNb2CdNi
1.0
4.608 0.000 0.000
0.000 4.608 0.000
0.000 0.000 4.783
Nb Ni Zr Cd
2 1 1 1
Direct
0.000 0.500 0.000
0.500 0.000 0.000
0.000 0.000 0.000
0.000 0.000 0.500
0.500 0.500 0.500
```

***

What did the seventh record say?
The following is a DFT calculation (SCAN) of a PBEsol-optimized structure of NaZrCd2.

Total magnetization in μB per formula unit: 0.0
Crystal system: cubic
Fermi-level density of states in states/eV/cell: 2.019
Space group: Fm-3m
ΔE_f in eV/atom: 0.018

```
NaZrCd2
1.0
4.934 0.000 0.000
2.467 4.273 0.000
2.467 1.424 4.029
Cd Na Zr
2 1 1
Direct
0.750 0.750 0.750
0.250 0.250 0.250
0.000 0.000 0.000
0.500 0.500 0.500
```